Record 1
# Cu3IrRu, optimized geometry, DFT PBE
# Energy above the lowest structure with this stoichiometry in eV per formula unit: 0.00
# Magnetization in μB per formula unit: 3.79
# Electronic total energy in eV per atom: -4.490
data_Cu3IrRu
_chemical_formula_sum 'Cu3 Ir1 Ru1'
_symmetry_space_group_name_H-M 'P 1'
_symmetry_Int_Tables_number 1
_cell_length_a 4.578
_cell_length_b 4.578
_cell_length_c 4.578
_cell_angle_alpha 90.00
_cell_angle_beta 90.00
_cell_angle_gamma 90.00
loop_
_symmetry_equiv_pos_as_xyz
'x,y,z'
loop_
_atom_site_label
_atom_site_type_symbol
_atom_site_fract_x
_atom_site_fract_y
_atom_site_fract_z
_atom_site_occupancy
Ru1 Ru 0.500 0.500 0.500 1
Cu1 Cu 0.500 0.000 0.000 1
Cu2 Cu 0.000 0.500 0.000 1
Cu3 Cu 0.000 0.000 0.500 1
Ir1 Ir 0.000 0.000 0.000 1

Record 2
# Cu2IrRu, optimized geometry, DFT PBE
# Energy above the lowest structure with this stoichiometry in eV per formula unit: 1.02
# Magnetization in μB per formula unit: 0.01
# Electronic total energy in eV per atom: -6.253
data_Cu2IrRu
_chemical_formula_sum 'Cu2 Ir1 Ru1'
_symmetry_space_group_name_H-M 'P 1'
_symmetry_Int_Tables_number 1
_cell_length_a 3.792
_cell_length_b 3.748
_cell_length_c 3.748
_cell_angle_alpha 90.00
_cell_angle_beta 90.00
_cell_angle_gamma 90.00
loop_
_symmetry_equiv_pos_as_xyz
'x,y,z'
loop_
_atom_site_label
_atom_site_type_symbol
_atom_site_fract_x
_atom_site_fract_y
_atom_site_fract_z
_atom_site_occupancy
Ir1 Ir 0.500 0.500 0.000 1
Cu1 Cu 0.000 0.500 0.500 1
Cu2 Cu 0.000 0.000 0.000 1
Ru1 Ru 0.500 0.000 0.500 1